# 1
Computed, not measured: crystalline RbCd2H at its relaxed geometry at the PBEsol level of DFT.

Properties
Uncorrected energy ... -45.81 eV for the cell shown

a b c (Å): 9.4377 9.4377 9.4377
angles (deg): 90.00 90.00 90.00
With the nearest neighbours (Å) after each atom.
Space group Fd-3m (No. 227, origin choice 2)
Unique sites:
Rb: 0.1250 0.1250 0.1250 [8 per cell]  12 Cd 3.91, 4 Rb 4.09, 4 H 4.09
Cd: 0.0000 0.0000 0.5000 [16 per cell]  2 H 2.04
H: 0.1250 0.1250 0.6250 [8 per cell]  4 Cd 2.04



# 2
Computed, not measured: crystalline PbCI3 at its relaxed geometry at the PBEsol level of DFT.

Properties
Raw formation energy ... 1.464 eV per atom
Uncorrected energy ... -11.63 eV for the cell shown

a b c (Å): 6.0652 6.0652 6.0652
angles (deg): 90.00 90.00 90.00
With the nearest neighbours (Å) after each atom.
Space group Pm-3m (No. 221)
Unique sites:
Pb: 0.0000 0.0000 0.0000 [1 per cell]  6 I 3.03
C: 0.5000 0.5000 0.5000 [1 per cell]  12 I 4.29
I: 0.0000 0.0000 0.5000 [3 per cell]  2 Pb 3.03



The highest uncorrected energy belongs to which entry?
PbCI3



Which of these has the lowest uncorrected energy?
RbCd2H



Look up the uncorrected energy of the second one.
-11.63 eV for the cell shown